The following is a GGA-PBE calculation of a relaxed structure of FePt, from the Alexandria database. Values from VASP.

```
&SYSTEM
  ibrav = 0, nat = 4, ntyp = 2
/
ATOMIC_SPECIES
Fe 55.84 Fe.upf
Pt 195.08 Pt.upf
ATOMIC_POSITIONS crystal
Fe 0.996 0.988 0.996
Fe 0.254 0.762 0.254
Pt 0.506 0.518 0.506
Pt 0.744 0.232 0.744
CELL_PARAMETERS angstrom
-2.763 -0.129 -0.153
1.993 -4.115 -7.415
-1.364 -2.041 1.283
```

Summary:
- DFT total energy (eV/atom) = -7.325
- calculated formation energy (eV per atom) = -0.073
- total magnetization (μB per cell) = 6.491
- mass density (g cm⁻³) = 14.65

The following is a GGA-PBE calculation of a relaxed structure of Fe2Pt, from the Alexandria database. Values from VASP.

```
&SYSTEM
  ibrav = 0, nat = 6, ntyp = 2
/
ATOMIC_SPECIES
Fe 55.84 Fe.upf
Pt 195.08 Pt.upf
ATOMIC_POSITIONS crystal
Fe 0.213 0.963 0.250
Fe 0.787 0.037 0.750
Fe 0.064 0.814 0.250
Fe 0.936 0.186 0.750
Pt 0.637 0.387 0.250
Pt 0.363 0.613 0.750
CELL_PARAMETERS angstrom
-1.317 2.005 8.300
1.317 -2.005 8.300
1.317 2.005 -8.300
```

Summary:
- DFT total energy (eV/atom) = -7.513
- calculated formation energy (eV per atom) = 0.142
- total magnetization (μB per cell) = 11.998
- mass density (g cm⁻³) = 11.62

The following is a GGA-PBE calculation of a relaxed structure of Fe2Pt, from the Alexandria database. Values from VASP.

```
&SYSTEM
  ibrav = 0, nat = 3, ntyp = 2
/
ATOMIC_SPECIES
Fe 55.84 Fe.upf
Pt 195.08 Pt.upf
ATOMIC_POSITIONS crystal
Fe 0.667 0.333 0.392
Fe 0.333 0.667 0.608
Pt 0.000 0.000 0.000
CELL_PARAMETERS angstrom
-0.729 1.060 3.986
-2.418 -2.854 -1.884
1.630 -1.914 0.808
```

Summary:
- DFT total energy (eV/atom) = -7.730
- calculated formation energy (eV per atom) = -0.074
- total magnetization (μB per cell) = 5.862
- mass density (g cm⁻³) = 12.70

The following is a GGA-PBE calculation of a relaxed structure of FePt3, from the Alexandria database. Values from VASP.

```
&SYSTEM
  ibrav = 0, nat = 4, ntyp = 2
/
ATOMIC_SPECIES
Fe 55.84 Fe.upf
Pt 195.08 Pt.upf
ATOMIC_POSITIONS crystal
Fe 0.000 0.000 0.000
Pt 0.744 0.487 0.244
Pt 0.500 0.000 0.500
Pt 0.256 0.513 0.756
CELL_PARAMETERS angstrom
2.757 0.000 0.000
-1.378 4.605 0.016
0.000 -0.904 4.720
```

Summary:
- DFT total energy (eV/atom) = -6.807
- calculated formation energy (eV per atom) = -0.160
- total magnetization (μB per cell) = 3.906
- mass density (g cm⁻³) = 17.75

The following is a GGA-PBE calculation of a relaxed structure of FePt3, from the Alexandria database. Values from VASP.

```
&SYSTEM
  ibrav = 0, nat = 4, ntyp = 2
/
ATOMIC_SPECIES
Fe 55.84 Fe.upf
Pt 195.08 Pt.upf
ATOMIC_POSITIONS crystal
Fe 0.000 0.000 0.000
Pt 0.000 0.000 0.500
Pt 0.333 0.667 0.231
Pt 0.333 0.667 0.769
CELL_PARAMETERS angstrom
-0.035 1.935 -1.957
1.539 -2.259 -0.325
-7.040 -4.212 -4.039
```

Summary:
- DFT total energy (eV/atom) = -6.772
- calculated formation energy (eV per atom) = -0.126
- total magnetization (μB per cell) = 3.819
- mass density (g cm⁻³) = 17.74

The following is a GGA-PBE calculation of a relaxed structure of Fe5Pt3, from the Alexandria database. Values from VASP.

```
&SYSTEM
  ibrav = 0, nat = 16, ntyp = 2
/
ATOMIC_SPECIES
Fe 55.84 Fe.upf
Pt 195.08 Pt.upf
ATOMIC_POSITIONS crystal
Fe 0.333 0.667 0.000
Fe 0.667 0.333 0.500
Fe 0.667 0.333 0.000
Fe 0.333 0.667 0.500
Fe 0.230 0.000 0.250
Fe 0.770 0.000 0.750
Fe 0.000 0.230 0.250
Fe 0.770 0.770 0.250
Fe 0.230 0.230 0.750
Fe 0.000 0.770 0.750
Pt 0.604 0.000 0.250
Pt 0.396 0.000 0.750
Pt 0.000 0.604 0.250
Pt 0.396 0.396 0.250
Pt 0.604 0.604 0.750
Pt 0.000 0.396 0.750
CELL_PARAMETERS angstrom
7.476 0.000 0.000
-3.738 6.474 0.000
0.000 0.000 4.749
```

Summary:
- DFT total energy (eV/atom) = -7.562
- calculated formation energy (eV per atom) = -0.007
- total magnetization (μB per cell) = 31.530
- offset from the most stable computed form (eV/atom) = 0.152
- mass density (g cm⁻³) = 12.49